No. 1
# CdSiMo

Crystalline CdSiMo at its relaxed geometry (PBE, Alexandria).

Results
The value obtained for the electronic total energy is -5.48 eV per atom. As for the total magnetic moment: 0.00 μB per atom. The calculation puts the density of states at the Fermi level at 4.0 states/eV per cell. As for the energy above the lowest structure with this stoichiometry: 42.6 kJ/mol of formula units. The calculation puts the formation energy from raw total energies at 247 meV/atom. The density comes out at 7.359 g cm⁻³.

Cell lengths 3.149, 2.687, 12.612 Å; angles 90.00, 90.00, 90.00 degrees
Space group Amm2 (No. 38)
Symmetry-distinct sites (fractional):
Cd: 0.000 0.000 0.000 [2 per cell]
Si: 0.000 0.000 0.698 [2 per cell]
Mo: 0.500 0.000 0.323 [2 per cell]


No. 2
# CdSiMo

Crystalline CdSiMo at its relaxed geometry (PBE, Alexandria).

Results
The value obtained for the electronic total energy is -5.62 eV per atom. As for the total magnetic moment: 0.00 μB per atom. The calculation puts the density of states at the Fermi level at 1.5 states/eV per cell. As for the energy above the lowest structure with this stoichiometry: 0.0 kJ/mol of formula units. The calculation puts the formation energy from raw total energies at 99 meV/atom. The density comes out at 6.535 g cm⁻³.

Cell lengths 2.758, 4.241, 5.136 Å; angles 90.00, 90.00, 90.00 degrees
Space group Pmmm (No. 47)
Symmetry-distinct sites (fractional):
Cd: 0.000 0.000 0.000 [1 per cell]
Si: 0.000 0.500 0.500 [1 per cell]
Mo: 0.500 0.000 0.500 [1 per cell]


No. 3
# CdSi2Mo

Crystalline CdSi2Mo at its relaxed geometry (PBE, Alexandria).

Results
The value obtained for the electronic total energy is -5.33 eV per atom. As for the total magnetic moment: 0.00 μB per atom. The calculation puts the density of states at the Fermi level at 4.1 states/eV per cell. The calculation puts the formation energy from raw total energies at 316 meV/atom. The density comes out at 6.885 g cm⁻³.

Cell lengths 3.528, 4.502, 8.034 Å; angles 90.00, 90.00, 90.00 degrees
Space group Immm (No. 71)
Symmetry-distinct sites (fractional):
Cd: 0.000 0.000 0.000 [2 per cell]
Si: 0.000 0.500 0.243 [4 per cell]
Mo: 0.000 0.000 0.500 [2 per cell]


No. 4
# Cd3SiMo

Crystalline Cd3SiMo at its relaxed geometry (PBE, Alexandria).

Results
The value obtained for the electronic total energy is -2.65 eV per atom. As for the total magnetic moment: 0.84 μB per atom. The calculation puts the density of states at the Fermi level at 2.3 states/eV per cell. As for the energy above the lowest structure with this stoichiometry: 0.0 kJ/mol of formula units. The calculation puts the formation energy from raw total energies at 1154 meV/atom. The density comes out at 5.968 g cm⁻³.

Cell lengths 5.044, 5.044, 5.044 Å; angles 90.00, 90.00, 90.00 degrees
Space group Pm-3m (No. 221)
Symmetry-distinct sites (fractional):
Cd: 0.000 0.000 0.500 [3 per cell]
Si: 0.000 0.000 0.000 [1 per cell]
Mo: 0.500 0.500 0.500 [1 per cell]


No. 5
# CdSiMo

Crystalline CdSiMo at its relaxed geometry (PBE, Alexandria).

Results
The value obtained for the electronic total energy is -5.48 eV per atom. As for the total magnetic moment: 0.00 μB per atom. The calculation puts the density of states at the Fermi level at 1.9 states/eV per cell. As for the energy above the lowest structure with this stoichiometry: 40.8 kJ/mol of formula units. The calculation puts the formation energy from raw total energies at 240 meV/atom. The density comes out at 7.328 g cm⁻³.

Cell lengths 5.948, 2.711, 7.237 Å; angles 90.00, 113.35, 90.00 degrees
Space group Cm (No. 8)
Symmetry-distinct sites (fractional):
Cd: 0.000 0.000 0.000 [2 per cell]
Si: 0.328 0.000 0.625 [2 per cell]
Mo: 0.490 0.000 0.361 [2 per cell]


No. 6
# CdSi2Mo

Crystalline CdSi2Mo at its relaxed geometry (PBE, Alexandria).

Results
The value obtained for the electronic total energy is -5.40 eV per atom. As for the total magnetic moment: 0.00 μB per atom. The calculation puts the density of states at the Fermi level at 4.0 states/eV per cell. The calculation puts the formation energy from raw total energies at 249 meV/atom. The density comes out at 6.420 g cm⁻³.

Cell lengths 3.561, 4.514, 8.512 Å; angles 90.00, 90.00, 90.00 degrees
Space group Cmmm (No. 65)
Symmetry-distinct sites (fractional):
Cd: 0.000 0.000 0.000 [2 per cell]
Si: 0.000 0.500 0.286 [4 per cell]
Mo: 0.000 0.000 0.500 [2 per cell]


No. 7
# CdSi2Mo

Crystalline CdSi2Mo at its relaxed geometry (PBE, Alexandria).

Results
The value obtained for the electronic total energy is -5.32 eV per atom. As for the total magnetic moment: 0.00 μB per atom. The calculation puts the density of states at the Fermi level at 4.5 states/eV per cell. The calculation puts the formation energy from raw total energies at 329 meV/atom. The density comes out at 6.920 g cm⁻³.

Cell lengths 3.393, 4.244, 8.816 Å; angles 90.00, 90.00, 90.00 degrees
Space group Imm2 (No. 44)
Symmetry-distinct sites (fractional):
Cd: 0.000 0.000 0.000 [2 per cell]
Si: 0.000 0.000 0.499 [2 per cell]
Si: 0.000 0.500 0.244 [2 per cell]
Mo: 0.000 0.500 0.773 [2 per cell]


No. 8
# CdSi2Mo

Crystalline CdSi2Mo at its relaxed geometry (PBE, Alexandria).

Results
The value obtained for the electronic total energy is -5.21 eV per atom. As for the total magnetic moment: 0.00 μB per atom. The calculation puts the density of states at the Fermi level at 4.1 states/eV per cell. The calculation puts the formation energy from raw total energies at 440 meV/atom. The density comes out at 6.644 g cm⁻³.

Cell lengths 5.843, 8.755, 2.912 Å; angles 90.00, 117.43, 90.00 degrees
Space group C2/m (No. 12)
Symmetry-distinct sites (fractional):
Cd: 0.000 0.000 0.000 [2 per cell]
Si: 0.250 0.250 0.000 [4 per cell]
Mo: 0.000 0.500 0.000 [2 per cell]


No. 9
# CdSi2Mo

Crystalline CdSi2Mo at its relaxed geometry (PBE, Alexandria).

Results
The value obtained for the electronic total energy is -5.57 eV per atom. As for the total magnetic moment: 0.00 μB per atom. The calculation puts the density of states at the Fermi level at 2.5 states/eV per cell. The calculation puts the formation energy from raw total energies at 82 meV/atom. The density comes out at 6.709 g cm⁻³.

Cell lengths 3.293, 3.293, 6.036 Å; angles 90.00, 90.00, 90.00 degrees
Space group P4/mmm (No. 123)
Symmetry-distinct sites (fractional):
Cd: 0.000 0.000 0.000 [1 per cell]
Si: 0.500 0.500 0.294 [2 per cell]
Mo: 0.000 0.000 0.500 [1 per cell]


No. 10
# CdSi2Mo

Crystalline CdSi2Mo at its relaxed geometry (PBE, Alexandria).

Results
The value obtained for the electronic total energy is -5.35 eV per atom. As for the total magnetic moment: 0.00 μB per atom. The calculation puts the density of states at the Fermi level at 1.7 states/eV per cell. The calculation puts the formation energy from raw total energies at 294 meV/atom. The density comes out at 6.641 g cm⁻³.

Cell lengths 2.951, 4.625, 4.908 Å; angles 90.00, 99.07, 90.00 degrees
Space group Pm (No. 6)
Symmetry-distinct sites (fractional):
Cd: 0.000 0.000 0.000 [1 per cell]
Si: 0.181 0.500 0.697 [1 per cell]
Si: 0.651 0.000 0.479 [1 per cell]
Mo: 0.525 0.500 0.255 [1 per cell]


No. 11
# CdSiMo

Crystalline CdSiMo at its relaxed geometry (PBE, Alexandria).

Results
The value obtained for the electronic total energy is -5.55 eV per atom. As for the total magnetic moment: 0.00 μB per atom. The calculation puts the density of states at the Fermi level at 1.9 states/eV per cell. As for the energy above the lowest structure with this stoichiometry: 22.3 kJ/mol of formula units. The calculation puts the formation energy from raw total energies at 176 meV/atom. The density comes out at 7.414 g cm⁻³.

Cell lengths 3.522, 4.449, 6.757 Å; angles 90.00, 90.00, 90.00 degrees
Space group Cmm2 (No. 35)
Symmetry-distinct sites (fractional):
Cd: 0.000 0.000 0.000 [2 per cell]
Si: 0.000 0.000 0.391 [2 per cell]
Mo: 0.000 0.500 0.655 [2 per cell]


No. 12
# CdSi2Mo

Crystalline CdSi2Mo at its relaxed geometry (PBE, Alexandria).

Results
The value obtained for the electronic total energy is -5.28 eV per atom. As for the total magnetic moment: 0.00 μB per atom. The calculation puts the density of states at the Fermi level at 3.5 states/eV per cell. The calculation puts the formation energy from raw total energies at 370 meV/atom. The density comes out at 6.944 g cm⁻³.

Cell lengths 4.347, 4.347, 3.347 Å; angles 90.00, 90.00, 90.00 degrees
Space group P4/mmm (No. 123)
Symmetry-distinct sites (fractional):
Cd: 0.000 0.000 0.000 [1 per cell]
Si: 0.000 0.500 0.500 [2 per cell]
Mo: 0.500 0.500 0.000 [1 per cell]


> Which of these has the highest total magnetic moment?

Cd3SiMo